Ba4TeOs PBE optimized geometry; total moment = 0.033 μB/atom; raw total energy = -17.28 eV per formula unit; ΔE_f (raw) = 0.797 eV per atom
1.0
0.0000 4.8586 4.8586
4.8586 0.0000 4.8586
4.8586 4.8586 0.0000
Ba Te Os
4 1 1
Cartesian
6.0680 6.0680 3.6492 Ba
3.6492 3.6492 3.6492 Ba
3.6492 6.0680 6.0680 Ba
6.0680 3.6492 6.0680 Ba
0.0000 0.0000 0.0000 Te
7.2879 7.2879 7.2879 Os



CeTl4I7 PBE optimized geometry; total moment = 0.083 μB/atom; raw total energy = -36.26 eV per formula unit; ΔE_f (raw) = -0.835 eV per atom
1.0
5.7853 0.0000 -1.8894
-1.4867 7.0992 -4.5522
0.8617 1.7702 12.4406
Tl I Ce
4 7 1
Cartesian
0.9930 7.3753 3.0405 Tl
2.4066 4.8826 7.3688 Tl
4.1674 1.4941 2.9584 Tl
2.7538 3.9869 -1.3699 Tl
0.3651 2.9098 1.1178 I
4.7953 5.9597 4.8811 I
2.8927 0.0000 -0.9447 I
1.7230 2.5264 5.2759 I
5.7414 2.9147 7.7779 I
-0.5810 5.9547 -1.7790 I
3.4373 6.3431 0.7231 I
0.0000 0.0000 0.0000 Ce



PmZnNi5 PBE optimized geometry; total moment = 0.076 μB/atom; raw total energy = -36.84 eV per formula unit; DFT formation energy = -0.272 eV per atom
1.0
4.8566 0.0000 0.0000
0.0000 7.9630 0.0000
0.0000 0.0000 10.0642
Zn Ni Pm
4 20 4
Cartesian
3.6424 5.1158 3.6071 Zn
1.2141 6.8287 8.6391 Zn
1.2141 2.8472 6.4571 Zn
3.6424 1.1343 1.4250 Zn
1.2141 1.4792 2.5173 Ni
1.2141 7.5348 1.0116 Ni
2.4113 4.5105 8.1385 Ni
3.6424 4.4097 6.0436 Ni
2.4453 7.4340 3.1065 Ni
4.8396 7.4340 3.1065 Ni
0.0170 4.5105 8.1385 Ni
4.8396 3.4525 1.9256 Ni
3.6424 7.2147 5.2060 Ni
1.2141 3.5533 4.0205 Ni
2.4453 3.4525 1.9256 Ni
3.6424 0.4282 9.0526 Ni
1.2141 0.7483 4.8582 Ni
3.6424 3.2332 9.8902 Ni
2.4113 0.5290 6.9577 Ni
1.2141 5.4607 2.5147 Ni
3.6424 2.5023 7.5494 Ni
1.2141 4.7298 0.1739 Ni
3.6424 6.4838 7.5468 Ni
0.0170 0.5290 6.9577 Ni
1.2141 1.9375 9.4713 Pm
3.6424 2.0440 4.4392 Pm
1.2141 5.9190 5.6250 Pm
3.6424 6.0255 0.5929 Pm



Number 1: V 229 Å³/cell. Number 2: V 574 Å³/cell. Number 3: V 389 Å³/cell.